Record 1
Material: KCaTa2
Method: DFT, PBE
State: optimized geometry

## Properties
Distance to the lowest polymorph of the same formula: 13.26 kcal/mol of atoms
Crystal system: orthorhombic
Formation energy from the elements: 457 kJ/mol of formula units

Cell lengths 3.296, 4.804, 6.043 Å; angles 90.00, 90.00, 90.00 degrees
Fractional positions:
1 Ta 0.500 0.500 0.000
2 Ta 0.000 0.000 0.000
3 K 0.000 0.500 0.500
4 Ca 0.500 0.000 0.500


Record 2
Material: CuPdF4
Method: DFT, PBE
State: optimized geometry

## Properties
Uncorrected formation energy: -1.325 eV/atom
Crystal system: monoclinic

Cell lengths 4.550, 5.447, 7.578 Å; angles 117.34, 90.00, 90.00 degrees
Fractional positions:
1 Cu 0.000 0.000 0.000
2 Cu 0.500 0.500 0.500
3 F 0.306 0.278 0.121
4 F 0.694 0.722 0.879
5 F 0.820 0.216 0.888
6 F 0.194 0.778 0.621
7 F 0.806 0.222 0.379
8 F 0.180 0.784 0.112
9 F 0.320 0.284 0.612
10 F 0.680 0.716 0.388
11 Pd 0.500 0.500 0.000
12 Pd 0.000 0.000 0.500


Calculated volume list, top to bottom, in Å³ per cell: 95.7; 166.9